[1]
An optimized crystal structure of SrTeO2F. Source: Alexandria via LeMat-Bulk, functional PBE.

The structure in POSCAR format:
```
SrTeO2F
1.0
4.272 0.000 0.000
0.000 4.272 0.000
0.000 0.000 4.925
Sr Te O F
1 1 2 1
direct
0.000 0.000 0.000
0.500 0.500 0.500
0.000 0.500 0.500
0.500 0.000 0.500
0.500 0.500 0.000
```

The total energy is -24.8 eV for the cell shown. The calculation puts the formation energy (no corrections) at -1634.0 meV per atom. For the volume, the calculation gives 17.98 A^3/atom. The calculation puts the magnetic moment at 0.00 μB/f.u. Its space group is No. 123.



[2]
An optimized crystal structure of YSeN2O. Source: Alexandria via LeMat-Bulk, functional PBE.

The structure in POSCAR format:
```
YSeN2O
1.0
4.082 0.000 0.000
0.000 4.082 0.000
0.000 0.000 3.924
Y Se N O
1 1 2 1
direct
0.000 0.000 0.000
0.500 0.500 0.000
0.000 0.500 0.500
0.500 0.000 0.500
0.500 0.500 0.500
```

The total energy is -27.8 eV for the cell shown. The calculation puts the formation energy (no corrections) at 757.5 meV per atom. For the volume, the calculation gives 13.08 A^3/atom. The calculation puts the magnetic moment at 0.13 μB/f.u. Its space group is No. 123.



[3]
An optimized crystal structure of Tb3Dy5Sb8. Source: Alexandria via LeMat-Bulk, functional PBE.

The structure in POSCAR format:
```
Tb3Dy5Sb8
1.0
4.391 2.535 7.170
-4.391 2.535 7.170
0.000 -5.070 7.170
Tb Dy Sb
3 5 8
direct
0.000 0.500 0.500
0.500 0.000 0.500
0.500 0.500 0.000
0.000 0.000 0.000
0.000 0.000 0.500
0.000 0.500 0.000
0.500 0.000 0.000
0.500 0.500 0.500
0.249 0.750 0.750
0.250 0.250 0.250
0.250 0.250 0.751
0.250 0.751 0.250
0.750 0.249 0.750
0.750 0.750 0.249
0.750 0.750 0.750
0.751 0.250 0.250
```

The total energy is -88.1 eV for the cell shown. The calculation puts the formation energy (no corrections) at -1138.1 meV per atom. For the volume, the calculation gives 29.93 A^3/atom. The calculation puts the magnetic moment at 0.00 μB/f.u. Its space group is No. 166.